RbTl2CuPt: optimized geometry, PBE-GGA.

Unit cell a=5.3439 b=5.3439 c=5.1944 alpha=90.00 beta=90.00 gamma=90.00
Closest atoms and distances in Å follow each position.
Atoms (fractional coordinates):
1 Cu 0.0000 0.0000 0.5000  2 Pt 2.60
2 Rb 0.5000 0.5000 0.5000  8 Tl 3.73, 4 Cu 3.78
3 Tl 0.0000 0.5000 0.0000  2 Pt 2.67
4 Tl 0.5000 0.0000 0.0000  2 Pt 2.67
5 Pt 0.0000 0.0000 0.0000  2 Cu 2.60, 4 Tl 2.67

The calculation puts the density of states at the Fermi level at 0.42 states/eV/atom. For the energy relative to the elements, the calculation gives 0.05 eV per atom.